Entry from the Alexandria database: ScTiAgPd after structural relaxation (PBE).

Results
**Energy**: -94.3 eV per cell
**Formation energy from the elements**: -0.32 eV per atom
**DOS at the Fermi energy**: 19.0 states/eV per cell
**ρ**: 7.1 g cm⁻³

Unit cell a=6.5994 b=6.5994 c=6.5994 alpha=90.00 beta=90.00 gamma=90.00
Space group F-43m (No. 216)
Unique sites:
Sc 0.0000 0.0000 0.0000 (multiplicity 4)
Ti 0.0000 0.0000 0.5000 (multiplicity 4)
Ag 0.2500 0.2500 0.7500 (multiplicity 4)
Pd 0.2500 0.2500 0.2500 (multiplicity 4)